[1]
The following is a DFT calculation (PBE) of a relaxed structure of La2YHo3Se6.

a b c (Å): 9.2963 9.2963 8.3884
angles (deg): 103.94 103.94 25.52
Last column: nearest neighbours and their distance in Å.
Fractional positions:
La 0.1666 0.1666 0.3336  6 Se 3.02-3.03
La 0.8334 0.8334 0.6664  6 Se 3.02-3.03
Y 0.5000 0.5000 0.0000  6 Se 2.92-2.95
Ho 0.1694 0.1694 0.8337  6 Se 2.85-2.90
Ho 0.5000 0.5000 0.5000  6 Se 2.84-2.92
Ho 0.8306 0.8306 0.1663  6 Se 2.85-2.90
Se 0.0057 0.0057 0.7507  3 Ho 2.88-2.92, 2 Y 2.95, 1 La 3.03
Se 0.3341 0.3341 0.9315  3 Ho 2.86-2.90, 1 Y 2.92, 2 La 3.02
Se 0.3382 0.3382 0.4054  3 Ho 2.84-2.85, 3 La 3.02
Se 0.6618 0.6618 0.5946  3 Ho 2.84-2.85, 3 La 3.02
Se 0.6659 0.6659 0.0685  3 Ho 2.86-2.90, 1 Y 2.92, 2 La 3.02
Se 0.9943 0.9943 0.2493  3 Ho 2.88-2.92, 2 Y 2.95, 1 La 3.03

**Raw total energy**: -72.8 eV per cell
**Uncorrected formation energy**: -1.821 eV per atom



[2]
The following is a DFT calculation (PBE) of a relaxed structure of BAu.

a b c (Å): 5.4680 5.4680 4.3297
angles (deg): 90.00 90.00 90.53
Last column: nearest neighbours and their distance in Å.
Fractional positions:
B 0.0230 0.7641 0.7757  1 B 1.65
B 0.2359 0.9770 0.7243  1 B 1.65
B 0.7641 0.0230 0.2243  1 B 1.65
B 0.9770 0.2359 0.2757  1 B 1.65
Au 0.0555 0.3476 0.7706  4 B 2.27-2.31
Au 0.3476 0.0555 0.2294  4 B 2.27-2.31
Au 0.6524 0.9445 0.7294  4 B 2.27-2.31
Au 0.9445 0.6524 0.2706  4 B 2.27-2.31

**Raw total energy**: -35.9 eV per cell
**Calculated formation energy**: 495.5 meV/atom